Below is Ho5Tm2Sc4 after structural relaxation, with properties calculated at the GGA-PBE level.

extended XYZ file:
```
11
Lattice="8.6653 0.0000 0.0000 0.0000 3.4796 0.0000 -0.8322 0.0000 10.6474" Properties=species:S:1:pos:R:3 pbc="T T T"
Ho 0.0000 0.0000 0.0000
Ho 0.1430 0.0000 3.5639
Ho 2.3446 0.0000 9.2378
Ho 5.4885 0.0000 1.4096
Ho 7.6901 0.0000 7.0835
Tm 3.3788 0.0000 3.8778
Tm 4.4543 0.0000 6.7696
Sc 1.7296 1.7398 6.1237
Sc 2.4751 1.7398 1.3915
Sc 5.3580 1.7398 9.2559
Sc 6.1035 1.7398 4.5237
```

## Properties
For the total moment, the calculation gives 0.00 μB per formula unit. The value obtained for the density of states at the Fermi level is 1.44 states/eV/atom. The space-group type is P2/m. The calculation puts the energy above the most stable polymorph in this dataset at 0.0000 eV/atom.